VASP calculation (SCAN) on MgCo2Br at its PBEsol-relaxed geometry.

Cell: 3.7763 3.7763 4.8375 Å, 112.97 112.97 90.00°
Last column: nearest neighbours and their distance in Å.
Element x y z (fractional)
Co  0.0000  0.0000  0.0000  4 Mg 2.67, 4 Co 2.76, 4 Br 2.76
Br  0.2500  0.7500  0.5000  8 Co 2.67-2.76, 4 Mg 2.76
Mg  0.5000  0.5000  0.0000  8 Co 2.67-2.76, 4 Br 2.76
Co  0.7500  0.2500  0.5000  4 Br 2.67, 4 Co 2.76, 4 Mg 2.76

Computed properties:
- Magnetization: 3.65 μB per cell
- Offset from the most stable computed form: 0.00 kcal/mol of atoms
- V: 14.38 A^3/atom
- E_form (uncorrected): 553 meV per atom
- SG: I-4m2 (119)